8
Lattice="3.925 5.500 5.112 7.999 2.422 1.391 4.492 7.118 -0.969" Properties=species:S:1:pos:R:3 comment="Rb2Hf3Pb3 | the Open Quantum Materials Database | PBE | optimized geometry" sg="R-3m (166)" energy_ev_per_fu=-34.470 magnetic_moment_mub_per_atom=0.265 pbc="T T T"
Hf 0.918 0.841 0.309
Hf 8.208 7.520 2.767
Hf 15.497 14.198 5.224
Pb 5.962 3.961 3.251
Pb 4.208 6.309 2.071
Pb 6.245 4.770 0.211
Rb 3.284 3.009 1.107
Rb 13.131 12.030 4.427